No. 1
Below is crystalline LiCe2Pu at its relaxed geometry, with properties calculated at the PBE level.

a b c (Å): 3.593 3.593 9.908
angles (deg): 79.55 79.55 60.00
Site moments in Bohr magnetons follow the coordinates.
Element x y z (fractional)
Ce: 0.113 0.113 0.662  0.01
Ce: 0.887 0.887 0.338  0.01
Pu: 0.500 0.500 0.500  1.57
Li: 0.000 0.000 0.000  0.00

## Properties
space-group type: R-3m (166)
total magnetization: 1.56 μB/cell
energy relative to the elements: 0.456 eV per atom

***

No. 2
Below is crystalline Ba2TlCdCu at its relaxed geometry, with properties calculated at the PBE level.

a b c (Å): 6.192 6.192 4.982
angles (deg): 90.00 90.00 90.00
Element x y z (fractional)
Ba: 0.000 0.500 0.000
Ba: 0.500 0.000 0.000
Cd: 0.000 0.000 0.500
Tl: 0.500 0.500 0.500
Cu: 0.000 0.000 0.000

## Properties
space-group type: P4/mmm (123)
total magnetization: 0.00 μB/cell
energy relative to the elements: -0.112 eV per atom

***

No. 3
Below is crystalline Al2HRu at its relaxed geometry, with properties calculated at the PBE level.

a b c (Å): 4.152 4.152 4.152
angles (deg): 60.00 60.00 60.00
Element x y z (fractional)
Ru: 0.500 0.500 0.500
H: 0.000 0.000 0.000
Al: 0.250 0.250 0.250
Al: 0.750 0.750 0.750

## Properties
space-group type: Fm-3m (225)
total magnetization: 0.00 μB/cell
raw total energy: -4.802 eV per atom

***

No. 4
Below is crystalline Ac2NdSi3Au12 at its relaxed geometry, with properties calculated at the PBE level.

a b c (Å): 8.347 8.347 8.347
angles (deg): 64.29 64.29 64.29
Element x y z (fractional)
Nd: 0.000 0.000 0.000
Au: 0.589 0.143 0.143
Au: 0.314 0.859 0.314
Au: 0.141 0.686 0.686
Au: 0.411 0.857 0.857
Au: 0.143 0.589 0.143
Au: 0.857 0.411 0.857
Au: 0.686 0.141 0.686
Au: 0.859 0.314 0.314
Au: 0.686 0.686 0.141
Au: 0.857 0.857 0.411
Au: 0.314 0.314 0.859
Au: 0.143 0.143 0.589
Si: 0.000 0.500 0.000
Si: 0.500 0.000 0.000
Si: 0.000 0.000 0.500
Ac: 0.600 0.600 0.600
Ac: 0.400 0.400 0.400

## Properties
space-group type: R-3m (166)
energy relative to the elements, uncorrected: -0.238 eV/atom
total magnetization: 0.00 μB/cell

***

No. 5
Below is crystalline SrPdBr at its relaxed geometry, with properties calculated at the PBE level.

a b c (Å): 4.471 4.471 33.659
angles (deg): 90.00 90.00 120.00
Element x y z (fractional)
Br: 0.667 0.333 0.395
Br: 0.667 0.333 0.622
Br: 0.333 0.667 0.729
Br: 0.000 0.000 0.289
Br: 0.333 0.667 0.955
Br: 0.000 0.000 0.062
Sr: 0.000 0.000 0.573
Sr: 0.667 0.333 0.778
Sr: 0.000 0.000 0.445
Sr: 0.333 0.667 0.111
Sr: 0.333 0.667 0.239
Sr: 0.667 0.333 0.906
Pd: 0.000 0.000 0.842
Pd: 0.667 0.333 0.509
Pd: 0.667 0.333 0.175
Pd: 0.000 0.000 0.175
Pd: 0.333 0.667 0.842
Pd: 0.333 0.667 0.509

## Properties
space-group type: R3m (160)
energy relative to the elements, uncorrected: -1.259 eV/atom
total magnetization: 0.00 μB/cell